[1]
Computed, not measured: Pa8Ga2Os after structural relaxation at the GGA-PBE level of DFT.

a b c (Å): 5.302 7.466 7.754
angles (deg): 117.05 109.99 90.00
Element x y z (fractional)
1 Pa 0.404 0.574 0.808
2 Pa 0.666 0.907 0.331
3 Pa 0.848 0.797 0.697
4 Pa 0.964 0.228 0.928
5 Pa 0.152 0.203 0.303
6 Pa 0.334 0.093 0.669
7 Pa 0.596 0.426 0.192
8 Pa 0.036 0.772 0.072
9 Ga 0.800 0.360 0.600
10 Ga 0.200 0.640 0.400
11 Os 0.500 0.000 0.000

Output
Its raw total energy is -94.3 eV per formula unit.

[2]
Computed, not measured: Pa6GaOs3 after structural relaxation at the GGA-PBE level of DFT.

a b c (Å): 4.195 10.133 10.984
angles (deg): 101.70 90.00 90.00
Element x y z (fractional)
1 Pa 0.750 0.442 0.570
2 Pa 0.250 0.558 0.430
3 Pa 0.750 0.856 0.007
4 Pa 0.250 0.144 0.993
5 Pa 0.750 0.369 0.042
6 Pa 0.250 0.631 0.958
7 Pa 0.750 0.731 0.227
8 Pa 0.250 0.269 0.773
9 Pa 0.750 0.069 0.448
10 Pa 0.250 0.931 0.552
11 Pa 0.750 0.718 0.715
12 Pa 0.250 0.282 0.285
13 Ga 0.750 0.040 0.772
14 Ga 0.250 0.960 0.228
15 Os 0.750 0.472 0.833
16 Os 0.250 0.528 0.167
17 Os 0.750 0.748 0.476
18 Os 0.250 0.252 0.524
19 Os 0.750 0.104 0.171
20 Os 0.250 0.896 0.829

Output
Its raw total energy is -95.6 eV per formula unit.